P) Density functional theory data (GGA-PBEsol) for crystalline NaMn3Ru at its relaxed geometry.

Cell lengths 4.4095, 4.4095, 4.4095 Å; angles 90.00, 90.00, 90.00 degrees
Last column: nearest neighbours and their distance in Å.
Fractional positions:
Ru 0.5000 0.5000 0.5000  12 Mn 3.12
Mn 0.0000 0.5000 0.0000  2 Na 2.20
Mn 0.0000 0.0000 0.5000  2 Na 2.20
Mn 0.5000 0.0000 0.0000  2 Na 2.20
Na 0.0000 0.0000 0.0000  6 Mn 2.20

Total moment: 13.4 Bohr magnetons per cell
Space group: No. 221
DOS at the Fermi energy: 6.4 states/eV/cell

Q) Density functional theory data (GGA-PBEsol) for crystalline NaMn3Ru at its relaxed geometry.

Cell lengths 4.7492, 4.7492, 4.7492 Å; angles 90.00, 90.00, 90.00 degrees
Last column: nearest neighbours and their distance in Å.
Fractional positions:
Ru 0.0000 0.0000 0.0000  6 Mn 2.37
Mn 0.0000 0.5000 0.0000  2 Ru 2.37
Mn 0.0000 0.0000 0.5000  2 Ru 2.37
Mn 0.5000 0.0000 0.0000  2 Ru 2.37
Na 0.5000 0.5000 0.5000  12 Mn 3.36

Total moment: 12.2 Bohr magnetons per cell
Space group: No. 221
DOS at the Fermi energy: 6.1 states/eV/cell

Tell me which of them is the most stable. Sure, it is Q).

P) Density functional theory data (GGA-PBEsol) for crystalline Na3MnSe at its relaxed geometry.

Cell lengths 5.4713, 5.4713, 5.4713 Å; angles 90.00, 90.00, 90.00 degrees
Last column: nearest neighbours and their distance in Å.
Fractional positions:
Na 0.0000 0.5000 0.0000  2 Se 2.74
Na 0.0000 0.0000 0.5000  2 Se 2.74
Na 0.5000 0.0000 0.0000  2 Se 2.74
Mn 0.5000 0.5000 0.5000  12 Na 3.87
Se 0.0000 0.0000 0.0000  6 Na 2.74

Total moment: 4.5 Bohr magnetons per cell
Space group: No. 221
DOS at the Fermi energy: 5.1 states/eV/cell

Q) Density functional theory data (GGA-PBEsol) for crystalline Na3MnSe at its relaxed geometry.

Cell lengths 5.4099, 5.4099, 5.4099 Å; angles 90.00, 90.00, 90.00 degrees
Last column: nearest neighbours and their distance in Å.
Fractional positions:
Na 0.0000 0.5000 0.0000  2 Mn 2.70
Na 0.0000 0.0000 0.5000  2 Mn 2.70
Na 0.5000 0.0000 0.0000  2 Mn 2.70
Mn 0.0000 0.0000 0.0000  6 Na 2.70
Se 0.5000 0.5000 0.5000  12 Na 3.83

Total moment: 4.2 Bohr magnetons per cell
Space group: No. 221
DOS at the Fermi energy: 5.6 states/eV/cell

Tell me which of them is the most stable. Sure, it is P).

P) Density functional theory data (GGA-PBEsol) for crystalline MnNbPS2 at its relaxed geometry.

Cell lengths 4.6874, 4.6874, 4.9197 Å; angles 90.00, 90.00, 90.00 degrees
Last column: nearest neighbours and their distance in Å.
Fractional positions:
P 0.0000 0.0000 0.5000  2 Nb 2.46
Nb 0.0000 0.0000 0.0000  4 S 2.34, 2 P 2.46
Mn 0.5000 0.5000 0.5000  4 P 3.31, 8 S 3.40
S 0.0000 0.5000 0.0000  2 Nb 2.34
S 0.5000 0.0000 0.0000  2 Nb 2.34

Total moment: 5.1 Bohr magnetons per cell
Space group: No. 123
DOS at the Fermi energy: 2.2 states/eV/cell

Q) Density functional theory data (GGA-PBEsol) for crystalline MnNbPS2 at its relaxed geometry.

Cell lengths 4.3367, 4.3367, 4.3948 Å; angles 90.00, 90.00, 90.00 degrees
Last column: nearest neighbours and their distance in Å.
Fractional positions:
P 0.0000 0.0000 0.5000  2 Mn 2.20
Nb 0.5000 0.5000 0.5000  4 P 3.07, 8 S 3.09
Mn 0.0000 0.0000 0.0000  4 S 2.17, 2 P 2.20
S 0.0000 0.5000 0.0000  2 Mn 2.17
S 0.5000 0.0000 0.0000  2 Mn 2.17

Total moment: 3.8 Bohr magnetons per cell
Space group: No. 123
DOS at the Fermi energy: 4.5 states/eV/cell

Tell me which of them is the most stable. Sure, it is P).

P) Density functional theory data (GGA-PBEsol) for crystalline Sr2NdMn2O7 at its relaxed geometry.

Cell lengths 3.8113, 3.8113, 10.2862 Å; angles 100.68, 100.68, 90.00 degrees
Last column: nearest neighbours and their distance in Å.
Fractional positions:
Sr 0.6828 0.6828 0.3655  9 O 2.47-2.70
Sr 0.3172 0.3172 0.6345  9 O 2.47-2.70
Nd 0.5000 0.5000 0.0000  12 O 2.61-2.69
Mn 0.0973 0.0973 0.1947  6 O 1.90-1.93
Mn 0.9027 0.9027 0.8053  6 O 1.90-1.93
O 0.1930 0.1930 0.3860  1 Mn 1.90
O 0.8070 0.8070 0.6140  1 Mn 1.90
O 0.0901 0.5901 0.1801  2 Mn 1.91
O 0.5901 0.0901 0.1801  2 Mn 1.91
O 0.9099 0.4099 0.8199  2 Mn 1.91
O 0.4099 0.9099 0.8199  2 Mn 1.91
O 0.0000 0.0000 0.0000  2 Mn 1.93

Total moment: 6.8 Bohr magnetons per cell
Space group: No. 139
DOS at the Fermi energy: 1.2 states/eV/cell

Q) Density functional theory data (GGA-PBEsol) for crystalline Sr2NdMn2O7 at its relaxed geometry.

Cell lengths 3.8250, 3.8250, 10.2519 Å; angles 100.75, 100.75, 90.00 degrees
Last column: nearest neighbours and their distance in Å.
Fractional positions:
Sr 0.4955 0.4955 0.9911  12 O 2.65-2.86
Sr 0.3180 0.3180 0.6359  5 O 2.42-2.55
Nd 0.6817 0.6817 0.3635  5 O 2.33-2.47
Mn 0.0957 0.0957 0.1915  6 O 1.87-1.98
Mn 0.9009 0.9009 0.8018  6 O 1.91-2.01
O 0.1956 0.1956 0.3912  1 Mn 1.98
O 0.7993 0.7993 0.5986  1 Mn 2.01
O 0.1029 0.6029 0.2057  2 Mn 1.92
O 0.6029 0.1029 0.2057  2 Mn 1.92
O 0.9031 0.4031 0.8062  2 Mn 1.91
O 0.4031 0.9031 0.8062  2 Mn 1.91
O 0.0013 0.0013 0.0027  2 Mn 1.87-1.99

Total moment: 6.9 Bohr magnetons per cell
Space group: No. 107
DOS at the Fermi energy: 1.5 states/eV/cell

Tell me which of them is the most stable. Sure, it is P).